1.
The following is a DFT calculation (SCAN) of a crystal of H2IrO relaxed with PBEsol.

Output
volume	6.735	Å³/atom
total DFT energy (no corrections)	-20.102	eV/atom

a = 3.365 Å, b = 3.365 Å, c = 3.365 Å
α = 60.00°, β = 60.00°, γ = 60.00°
Fractional positions:
H: 0.250 0.250 0.250
H: 0.750 0.750 0.750
Ir: 0.000 0.000 0.000
O: 0.500 0.500 0.500

2.
The following is a DFT calculation (SCAN) of a crystal of ScCuSb2 relaxed with PBEsol.

Output
volume	20.134	Å³/atom
total DFT energy (no corrections)	-26.280	eV/atom
uncorrected formation energy	-0.291	eV per atom

a = 5.722 Å, b = 5.722 Å, c = 5.722 Å
α = 138.78°, β = 138.78°, γ = 59.71°
Fractional positions:
Sc: 0.000 0.000 0.000
Cu: 0.750 0.250 0.500
Sb: 0.250 0.750 0.500
Sb: 0.500 0.500 0.000

3.
The following is a DFT calculation (SCAN) of a crystal of NdSi2Ni2 relaxed with PBEsol.

Output
volume	15.269	Å³/atom
total DFT energy (no corrections)	-20.015	eV/atom
uncorrected formation energy	-0.823	eV per atom

a = 5.533 Å, b = 5.533 Å, c = 5.533 Å
α = 137.53°, β = 137.53°, γ = 61.62°
Fractional positions:
Nd: 0.000 0.000 0.000
Si: 0.369 0.369 0.000
Si: 0.631 0.631 0.000
Ni: 0.250 0.750 0.500
Ni: 0.750 0.250 0.500

4.
The following is a DFT calculation (SCAN) of a crystal of Cr2PtCl relaxed with PBEsol.

Output
volume	12.758	Å³/atom
total DFT energy (no corrections)	-28.410	eV/atom
uncorrected formation energy	0.325	eV per atom

a = 8.057 Å, b = 8.057 Å, c = 8.057 Å
α = 19.52°, β = 19.52°, γ = 19.52°
Fractional positions:
Cr: 0.244 0.244 0.244
Cr: 0.756 0.756 0.756
Pt: 0.000 0.000 0.000
Cl: 0.500 0.500 0.500

5.
The following is a DFT calculation (SCAN) of a crystal of Ga2Bi2Br relaxed with PBEsol.

Output
volume	26.257	Å³/atom
total DFT energy (no corrections)	-41.987	eV/atom
uncorrected formation energy	-0.125	eV per atom

a = 8.481 Å, b = 8.481 Å, c = 8.481 Å
α = 152.33°, β = 152.33°, γ = 39.53°
Fractional positions:
Ga: 0.250 0.750 0.500
Ga: 0.750 0.250 0.500
Bi: 0.122 0.122 0.000
Bi: 0.878 0.878 0.000
Br: 0.500 0.500 0.000

6.
The following is a DFT calculation (SCAN) of a crystal of MgCdSeN2 relaxed with PBEsol.

Output
volume	17.755	Å³/atom
total DFT energy (no corrections)	-13.992	eV/atom
uncorrected formation energy	0.818	eV per atom

a = 4.067 Å, b = 4.067 Å, c = 5.368 Å
α = 90.00°, β = 90.00°, γ = 90.00°
Fractional positions:
Mg: 0.000 0.000 0.000
Cd: 0.500 0.500 0.500
Se: 0.000 0.000 0.500
N: 0.000 0.500 0.000
N: 0.500 0.000 0.000

7.
The following is a DFT calculation (SCAN) of a crystal of LiLaCd relaxed with PBEsol.

Output
volume	24.742	Å³/atom
DFT formation energy	-195	meV/atom
total DFT energy (no corrections)	-25.498	eV/atom

a = 5.613 Å, b = 5.613 Å, c = 5.613 Å
α = 146.53°, β = 129.76°, γ = 61.72°
Fractional positions:
Li: 0.000 0.000 0.000
La: 0.318 0.318 0.000
Cd: 0.654 0.654 0.000

8.
The following is a DFT calculation (SCAN) of a crystal of LaPPt2 relaxed with PBEsol.

Output
volume	19.791	Å³/atom
DFT formation energy	-919	meV/atom
total DFT energy (no corrections)	-49.391	eV/atom

a = 3.760 Å, b = 3.731 Å, c = 5.943 Å
α = 90.00°, β = 108.27°, γ = 90.00°
Fractional positions:
La: 0.000 0.000 0.000
P: 0.482 0.500 0.337
Pt: 0.362 0.500 0.702
Pt: 0.832 0.000 0.470

9.
The following is a DFT calculation (SCAN) of a crystal of NaOsIN2 relaxed with PBEsol.

Output
volume	17.413	Å³/atom
total DFT energy (no corrections)	-25.938	eV/atom
uncorrected formation energy	0.346	eV per atom

a = 3.869 Å, b = 3.869 Å, c = 5.817 Å
α = 90.00°, β = 90.00°, γ = 90.00°
Fractional positions:
Na: 0.000 0.000 0.000
Os: 0.500 0.500 0.500
I: 0.500 0.500 0.000
N: 0.000 0.500 0.500
N: 0.500 0.000 0.500

10.
The following is a DFT calculation (SCAN) of a crystal of VBiO4 relaxed with PBEsol.

Output
volume	12.545	Å³/atom
total DFT energy (no corrections)	-22.230	eV/atom
uncorrected formation energy	-2.065	eV per atom

a = 6.809 Å, b = 6.809 Å, c = 6.809 Å
α = 135.95°, β = 135.95°, γ = 64.05°
Fractional positions:
V: 0.375 0.125 0.250
V: 0.625 0.875 0.750
Bi: 0.125 0.375 0.750
Bi: 0.875 0.625 0.250
O: 0.155 0.295 0.360
O: 0.205 0.064 0.860
O: 0.296 0.655 0.360
O: 0.436 0.796 0.140
O: 0.564 0.204 0.860
O: 0.704 0.345 0.640
O: 0.795 0.936 0.140
O: 0.845 0.705 0.640

11.
The following is a DFT calculation (SCAN) of a crystal of La2ScTc relaxed with PBEsol.

Output
volume	23.975	Å³/atom
DFT formation energy	43	meV/atom
total DFT energy (no corrections)	-33.833	eV/atom

a = 3.413 Å, b = 3.413 Å, c = 8.232 Å
α = 90.00°, β = 90.00°, γ = 90.00°
Fractional positions:
La: 0.000 0.000 0.000
La: 0.500 0.500 0.299
Sc: 0.000 0.000 0.614
Tc: 0.500 0.500 0.790

12.
The following is a DFT calculation (SCAN) of a crystal of Hf3BiCl relaxed with PBEsol.

Output
volume	21.287	Å³/atom
total DFT energy (no corrections)	-54.719	eV/atom
uncorrected formation energy	0.197	eV per atom

a = 4.739 Å, b = 4.739 Å, c = 4.739 Å
α = 90.00°, β = 90.00°, γ = 90.00°
Fractional positions:
Hf: 0.000 0.000 0.500
Hf: 0.000 0.500 0.000
Hf: 0.500 0.000 0.000
Bi: 0.500 0.500 0.500
Cl: 0.000 0.000 0.000

13.
The following is a DFT calculation (SCAN) of a crystal of Al2PbAu2 relaxed with PBEsol.

Output
volume	20.315	Å³/atom
DFT formation energy	-279	meV/atom
total DFT energy (no corrections)	-46.199	eV/atom

a = 6.116 Å, b = 6.116 Å, c = 6.116 Å
α = 137.93°, β = 137.93°, γ = 61.01°
Fractional positions:
Al: 0.123 0.123 0.000
Al: 0.877 0.877 0.000
Pb: 0.500 0.500 0.000
Au: 0.250 0.750 0.500
Au: 0.750 0.250 0.500

14.
The following is a DFT calculation (SCAN) of a crystal of NaHf2VF11 relaxed with PBEsol.

Output
volume	14.043	Å³/atom
total DFT energy (no corrections)	-16.130	eV/atom
uncorrected formation energy	-3.731	eV per atom

a = 5.649 Å, b = 5.649 Å, c = 7.689 Å
α = 110.70°, β = 110.70°, γ = 72.89°
Fractional positions:
Na: 0.000 0.000 0.000
Hf: 0.495 0.495 0.765
Hf: 0.505 0.505 0.235
V: 0.000 0.000 0.500
F: 0.193 0.779 0.691
F: 0.221 0.807 0.309
F: 0.250 0.250 0.647
F: 0.268 0.268 0.110
F: 0.330 0.670 0.000
F: 0.500 0.500 0.500
F: 0.670 0.330 0.000
F: 0.732 0.732 0.890
F: 0.750 0.750 0.353
F: 0.779 0.193 0.691
F: 0.807 0.221 0.309

15.
The following is a DFT calculation (SCAN) of a crystal of Be2CoPt relaxed with PBEsol.

Output
volume	9.850	Å³/atom
DFT formation energy	-670	meV/atom
total DFT energy (no corrections)	-24.721	eV/atom

a = 3.799 Å, b = 3.799 Å, c = 2.730 Å
α = 90.00°, β = 90.00°, γ = 90.00°
Fractional positions:
Be: 0.000 0.500 0.000
Be: 0.500 0.000 0.000
Co: 0.000 0.000 0.500
Pt: 0.500 0.500 0.500

16.
The following is a DFT calculation (SCAN) of a crystal of PbAu relaxed with PBEsol.

Output
volume	23.536	Å³/atom
DFT formation energy	-51	meV/atom
total DFT energy (no corrections)	-72.520	eV/atom

a = 6.941 Å, b = 6.941 Å, c = 5.875 Å
α = 111.88°, β = 111.88°, γ = 32.78°
Fractional positions:
Pb: 0.000 0.000 0.000
Pb: 0.310 0.310 0.048
Pb: 0.587 0.587 0.591
Au: 0.252 0.252 0.529
Au: 0.670 0.670 0.152
Au: 0.900 0.900 0.475

17.
The following is a DFT calculation (SCAN) of a crystal of SiNi relaxed with PBEsol.

Output
volume	11.126	Å³/atom
total DFT energy (no corrections)	-13.510	eV/atom
uncorrected formation energy	-0.416	eV per atom

a = 4.465 Å, b = 4.465 Å, c = 4.465 Å
α = 90.00°, β = 90.00°, γ = 90.00°
Fractional positions:
Si: 0.096 0.096 0.096
Si: 0.404 0.904 0.596
Si: 0.596 0.404 0.904
Si: 0.904 0.596 0.404
Ni: 0.101 0.601 0.899
Ni: 0.399 0.399 0.399
Ni: 0.601 0.899 0.101
Ni: 0.899 0.101 0.601

18.
The following is a DFT calculation (SCAN) of a crystal of Cd3TeOs relaxed with PBEsol.

Output
volume	27.038	Å³/atom
total DFT energy (no corrections)	-39.194	eV/atom
uncorrected formation energy	0.881	eV per atom

a = 5.132 Å, b = 5.132 Å, c = 5.132 Å
α = 90.00°, β = 90.00°, γ = 90.00°
Fractional positions:
Cd: 0.000 0.000 0.500
Cd: 0.000 0.500 0.000
Cd: 0.500 0.000 0.000
Te: 0.500 0.500 0.500
Os: 0.000 0.000 0.000

19.
The following is a DFT calculation (SCAN) of a crystal of Mg3HPt relaxed with PBEsol.

Output
volume	14.075	Å³/atom
total DFT energy (no corrections)	-18.239	eV/atom

a = 4.129 Å, b = 4.129 Å, c = 4.129 Å
α = 90.00°, β = 90.00°, γ = 90.00°
Fractional positions:
Mg: 0.000 0.000 0.500
Mg: 0.000 0.500 0.000
Mg: 0.500 0.000 0.000
H: 0.000 0.000 0.000
Pt: 0.500 0.500 0.500

20.
The following is a DFT calculation (SCAN) of a crystal of As2WC relaxed with PBEsol.

Output
volume	15.706	Å³/atom
DFT formation energy	1084	meV/atom
total DFT energy (no corrections)	-28.958	eV/atom

a = 5.682 Å, b = 5.682 Å, c = 5.682 Å
α = 121.96°, β = 121.96°, γ = 86.64°
Fractional positions:
As: 0.052 0.125 0.427
As: 0.375 0.948 0.073
As: 0.698 0.625 0.573
As: 0.875 0.302 0.927
W: 0.250 0.750 0.500
W: 0.500 0.500 0.000
C: 0.000 0.000 0.000
C: 0.750 0.250 0.500

21.
The following is a DFT calculation (SCAN) of a crystal of La2MgHg relaxed with PBEsol.

Output
volume	28.946	Å³/atom
DFT formation energy	-426	meV/atom
total DFT energy (no corrections)	-40.264	eV/atom

a = 3.904 Å, b = 3.904 Å, c = 7.596 Å
α = 90.00°, β = 90.00°, γ = 90.00°
Fractional positions:
La: 0.000 0.000 0.242
La: 0.000 0.000 0.758
Mg: 0.500 0.500 0.500
Hg: 0.500 0.500 0.000

22.
The following is a DFT calculation (SCAN) of a crystal of CuAgPdO2 relaxed with PBEsol.

Output
volume	14.735	Å³/atom
total DFT energy (no corrections)	-17.567	eV/atom
uncorrected formation energy	0.794	eV per atom

a = 3.835 Å, b = 3.835 Å, c = 5.009 Å
α = 90.00°, β = 90.00°, γ = 90.00°
Fractional positions:
Cu: 0.000 0.000 0.000
Ag: 0.500 0.500 0.500
Pd: 0.500 0.500 0.000
O: 0.000 0.500 0.500
O: 0.500 0.000 0.500

23.
The following is a DFT calculation (SCAN) of a crystal of Dy6Co2Sn relaxed with PBEsol.

Output
volume	23.723	Å³/atom
DFT formation energy	-325	meV/atom
total DFT energy (no corrections)	-40.026	eV/atom

a = 8.221 Å, b = 8.221 Å, c = 8.221 Å
α = 111.86°, β = 109.59°, γ = 106.99°
Fractional positions:
Dy: 0.029 0.236 0.793
Dy: 0.184 0.285 0.469
Dy: 0.184 0.715 0.899
Dy: 0.324 0.011 0.687
Dy: 0.324 0.637 0.313
Dy: 0.444 0.236 0.207
Dy: 0.556 0.764 0.793
Dy: 0.676 0.363 0.687
Dy: 0.676 0.989 0.313
Dy: 0.816 0.285 0.101
Dy: 0.816 0.715 0.531
Dy: 0.971 0.764 0.207
Co: 0.113 0.613 0.500
Co: 0.342 0.000 0.342
Co: 0.658 0.000 0.658
Co: 0.887 0.387 0.500
Sn: 0.000 0.000 0.000
Sn: 0.500 0.500 0.000

24.
The following is a DFT calculation (SCAN) of a crystal of AgSb2PbAu relaxed with PBEsol.

Output
volume	30.721	Å³/atom
total DFT energy (no corrections)	-49.551	eV/atom
uncorrected formation energy	0.614	eV per atom

a = 5.287 Å, b = 5.287 Å, c = 5.495 Å
α = 90.00°, β = 90.00°, γ = 90.00°
Fractional positions:
Ag: 0.000 0.000 0.000
Sb: 0.000 0.500 0.500
Sb: 0.500 0.000 0.500
Pb: 0.500 0.500 0.000
Au: 0.500 0.500 0.500

25.
The following is a DFT calculation (SCAN) of a crystal of CaTeRh relaxed with PBEsol.

Output
volume	22.832	Å³/atom
total DFT energy (no corrections)	-27.858	eV/atom
uncorrected formation energy	-0.963	eV per atom

a = 4.395 Å, b = 4.395 Å, c = 4.095 Å
α = 90.00°, β = 90.00°, γ = 120.00°
Fractional positions:
Ca: 0.000 0.000 0.000
Te: 0.667 0.333 0.500
Rh: 0.333 0.667 0.500

26.
The following is a DFT calculation (SCAN) of a crystal of MgCu2 relaxed with PBEsol.

Output
volume	13.374	Å³/atom
DFT formation energy	-65	meV/atom
total DFT energy (no corrections)	-11.855	eV/atom

a = 6.008 Å, b = 6.008 Å, c = 3.651 Å
α = 90.00°, β = 90.00°, γ = 142.50°
Fractional positions:
Mg: 0.160 0.840 0.000
Mg: 0.840 0.160 0.000
Cu: 0.000 0.000 0.500
Cu: 0.344 0.656 0.500
Cu: 0.500 0.500 0.000
Cu: 0.656 0.344 0.500

27.
The following is a DFT calculation (SCAN) of a crystal of Mg3ReSe relaxed with PBEsol.

Output
volume	25.488	Å³/atom
total DFT energy (no corrections)	-20.233	eV/atom
uncorrected formation energy	0.986	eV per atom

a = 5.032 Å, b = 5.032 Å, c = 5.032 Å
α = 90.00°, β = 90.00°, γ = 90.00°
Fractional positions:
Mg: 0.000 0.000 0.500
Mg: 0.000 0.500 0.000
Mg: 0.500 0.000 0.000
Re: 0.000 0.000 0.000
Se: 0.500 0.500 0.500